# ReWAu2 GGA-PBE relaxed
data_ReWAu2
_cell_length_a 9.4832
_cell_length_b 2.7237
_cell_length_c 5.1518
_cell_angle_alpha 90.00
_cell_angle_beta 97.01
_cell_angle_gamma 90.00
_space_group_name_H-M_alt 'C 1 m 1'
_space_group_IT_number 8
loop_
_space_group_symop_operation_xyz
'x,y,z'
'x,-y,z'
'x+1/2,y+1/2,z'
'x+1/2,-y+1/2,z'
loop_
_atom_site_label
_atom_site_fract_x
_atom_site_fract_y
_atom_site_fract_z
Re1 0.0000 0.0000 0.0000
W1 0.2439 0.0000 0.7863
Au1 0.2437 0.5000 0.2756
Au2 0.4975 0.0000 0.5135
# final energy = -7.55 eV per atom
# magnetic moment = 0.000 Bohr magnetons per cell
# E above lowest polymorph = 53.9 kJ/mol of formula units